No. 1
Computed, not measured: a relaxed structure of HoMg2ZnPd4 at the PBE level of DFT.

## Properties
Calculated formation energy: -0.714 eV/atom
Calculated volume: 17.123 Å³/atom
Total DFT energy (no corrections): -4.440 eV/atom

a b c (Å): 4.567 4.567 8.030
angles (deg): 73.48 73.48 60.00
Sites, in units of the cell vectors:
Ho (0.000, 0.000, 0.000)
Mg (0.755, 0.755, 0.734)
Mg (0.245, 0.245, 0.266)
Zn (0.500, 0.500, 0.500)
Pd (0.385, 0.385, 0.844)
Pd (0.873, 0.873, 0.380)
Pd (0.127, 0.127, 0.620)
Pd (0.615, 0.615, 0.156)

No. 2
Computed, not measured: a relaxed structure of Ho2MgZn2Pd5 at the PBE level of DFT.

## Properties
Calculated formation energy: -0.717 eV/atom
Calculated volume: 17.833 Å³/atom
Total DFT energy (no corrections): -4.644 eV/atom

a b c (Å): 3.775 9.721 9.721
angles (deg): 90.00 90.00 90.00
Sites, in units of the cell vectors:
Ho (0.000, 0.676, 0.176)
Ho (0.000, 0.324, 0.824)
Ho (0.000, 0.176, 0.324)
Ho (0.000, 0.824, 0.676)
Mg (0.000, 0.000, 0.000)
Mg (0.000, 0.500, 0.500)
Zn (0.000, 0.121, 0.621)
Zn (0.000, 0.879, 0.379)
Zn (0.000, 0.621, 0.879)
Zn (0.000, 0.379, 0.121)
Pd (0.500, 0.205, 0.069)
Pd (0.500, 0.795, 0.931)
Pd (0.500, 0.069, 0.795)
Pd (0.500, 0.705, 0.431)
Pd (0.500, 0.931, 0.205)
Pd (0.500, 0.295, 0.569)
Pd (0.500, 0.569, 0.705)
Pd (0.500, 0.431, 0.295)
Pd (0.500, 0.500, 0.000)
Pd (0.500, 0.000, 0.500)

No. 3
Computed, not measured: a relaxed structure of Pm8Ho2Mg at the PBE level of DFT.

## Properties
Calculated formation energy: 0.150 eV/atom
Calculated volume: 34.280 Å³/atom
Total DFT energy (no corrections): -4.282 eV/atom
Relative energy among the computed polymorphs: 0.1396 eV/atom

a b c (Å): 5.480 10.396 8.416
angles (deg): 51.86 89.87 89.79
Sites, in units of the cell vectors:
Pm (0.502, 0.696, 0.275)
Pm (0.502, 0.971, 0.725)
Pm (0.000, 0.661, 0.000)
Pm (0.000, 0.744, 0.506)
Pm (0.000, 0.250, 0.494)
Pm (0.000, 0.333, 0.000)
Pm (0.498, 0.023, 0.275)
Pm (0.498, 0.298, 0.725)
Ho (0.500, 0.376, 0.241)
Ho (0.500, 0.617, 0.759)
Mg (0.000, 0.996, 0.000)

No. 4
Computed, not measured: a relaxed structure of Pm5Ho6Mg at the PBE level of DFT.

## Properties
Calculated formation energy: 0.042 eV/atom
Calculated volume: 31.988 Å³/atom
Total DFT energy (no corrections): -4.360 eV/atom

a b c (Å): 5.467 8.378 9.760
angles (deg): 115.41 106.28 90.01
Sites, in units of the cell vectors:
Mg (0.000, 0.000, 0.000)
Ho (0.848, 0.627, 0.694)
Ho (0.848, 0.067, 0.695)
Ho (0.500, 0.787, 0.000)
Ho (0.500, 0.213, 0.000)
Ho (0.152, 0.933, 0.305)
Ho (0.152, 0.373, 0.306)
Pm (0.691, 0.192, 0.384)
Pm (0.338, 0.338, 0.677)
Pm (0.000, 0.500, 0.000)
Pm (0.662, 0.662, 0.323)
Pm (0.309, 0.808, 0.616)

No. 5
Computed, not measured: a relaxed structure of PmHoMg at the PBE level of DFT.

## Properties
Calculated formation energy: -0.043 eV/atom
Calculated volume: 29.672 Å³/atom
Total DFT energy (no corrections): -3.684 eV/atom
Relative energy among the computed polymorphs: 0.0039 eV/atom

a b c (Å): 3.708 3.708 6.985
angles (deg): 105.39 105.39 90.00
Site moments in Bohr magnetons follow the coordinates.
Sites, in units of the cell vectors:
Mg (0.663, 0.663, 0.327)  0.00
Ho (0.010, 0.010, 0.020)  0.06
Pm (0.327, 0.327, 0.653)  0.04

No. 6
Computed, not measured: a relaxed structure of PmHoMg at the PBE level of DFT.

## Properties
Calculated formation energy: 0.209 eV/atom
Calculated volume: 30.725 Å³/atom
Total DFT energy (no corrections): -3.432 eV/atom
Relative energy among the computed polymorphs: 0.2550 eV/atom

a b c (Å): 4.697 4.697 8.356
angles (deg): 90.00 90.00 90.00
Site moments in Bohr magnetons follow the coordinates.
Sites, in units of the cell vectors:
Ho (0.000, 0.500, 0.737)  0.12
Ho (0.500, 0.000, 0.263)  0.12
Mg (0.500, 0.500, 0.000)  0.00
Mg (0.000, 0.000, 0.000)  0.00
Pm (0.500, 0.000, 0.677)  0.11
Pm (0.000, 0.500, 0.323)  0.11

No. 7
Computed, not measured: a relaxed structure of Pm2Ho3Mg8 at the PBE level of DFT.

## Properties
Calculated formation energy: 0.117 eV/atom
Calculated volume: 28.425 Å³/atom
Total DFT energy (no corrections): -2.651 eV/atom

a b c (Å): 5.868 5.868 12.849
angles (deg): 76.80 76.80 60.00
Sites, in units of the cell vectors:
Pm (0.639, 0.639, 0.083)
Pm (0.361, 0.361, 0.917)
Ho (0.000, 0.000, 0.000)
Ho (0.816, 0.816, 0.552)
Ho (0.184, 0.184, 0.448)
Mg (0.726, 0.726, 0.823)
Mg (0.274, 0.274, 0.177)
Mg (0.228, 0.729, 0.315)
Mg (0.729, 0.228, 0.315)
Mg (0.729, 0.729, 0.315)
Mg (0.271, 0.772, 0.685)
Mg (0.772, 0.271, 0.685)
Mg (0.271, 0.271, 0.685)

No. 8
Computed, not measured: a relaxed structure of Pm4Ho7Mg at the PBE level of DFT.

## Properties
Calculated formation energy: 0.015 eV/atom
Calculated volume: 31.571 Å³/atom
Total DFT energy (no corrections): -4.371 eV/atom

a b c (Å): 3.565 3.565 34.421
angles (deg): 90.00 90.00 120.00
Sites, in units of the cell vectors:
Pm (0.667, 0.333, 0.085)
Pm (0.333, 0.667, 0.915)
Pm (0.667, 0.333, 0.339)
Pm (0.333, 0.667, 0.661)
Ho (0.000, 0.000, 0.000)
Ho (0.667, 0.333, 0.577)
Ho (0.333, 0.667, 0.423)
Ho (0.667, 0.333, 0.830)
Ho (0.333, 0.667, 0.170)
Ho (0.000, 0.000, 0.253)
Ho (0.000, 0.000, 0.747)
Mg (0.000, 0.000, 0.500)